Version w
VASP calculation (GGA-PBE) on a relaxed structure of Ta3BiAu.

a b c (Å): 5.098 5.098 5.098
angles (deg): 90.00 90.00 90.00
Positions (direct):
Au1 0.500 0.500 0.500
Ta1 0.500 0.000 0.000
Ta2 0.000 0.000 0.500
Ta3 0.000 0.500 0.000
Bi1 0.000 0.000 0.000

## Properties
M_tot = 0.0000 μB per atom
mass density = 11.889 Mg/m³
symmetry = Pm-3m (221)

***

Version x
VASP calculation (GGA-PBE) on a relaxed structure of Ta3BiAu.

a b c (Å): 5.002 5.002 5.002
angles (deg): 90.00 90.00 90.00
Positions (direct):
Ta1 0.000 0.000 0.500
Au1 0.000 0.000 0.000
Ta2 0.000 0.500 0.000
Ta3 0.500 0.000 0.000
Bi1 0.500 0.500 0.500

## Properties
M_tot = 0.0000 μB per atom
mass density = 12.586 Mg/m³
symmetry = Pm-3m (221)

***

version x wins, 837 meV per atom ahead of the next structure.